Below is SrBi2Os after structural relaxation, with properties calculated at the PBE level.

Summary:
For the calculated formation energy, the calculation gives 0.180 eV per atom. The size of the total moment is 0.000 μB/atom. The theoretical density comes out at 9.654 g/cm3. The space-group type is I-42d (122). As for the electronic total energy: -4.988 eV/atom. Its distance to the lowest polymorph of the same formula is 0 meV/atom.

Cell lengths 8.547, 8.547, 6.875 Å; angles 51.57, 51.57, 90.00 degrees
Atoms (fractional coordinates):
Os  0.000  0.000  0.000
Bi  0.704  0.125  0.250
Sr  0.250  0.750  0.500
Bi  0.375  0.296  0.750
Os  0.750  0.250  0.500
Bi  0.046  0.625  0.250
Bi  0.875  0.954  0.750
Sr  0.500  0.500  0.000